Record 1
A geometry-optimized SrCoGe2 structure. Source: Alexandria, functional PBE. Values from VASP.

The final energy comes out at -39.0 eV per cell. The volume is 162.9 Å³ per cell. The magnetic moment comes out at 0.00 μB per cell. For the formation energy, the calculation gives -370.1 meV/atom. The density of states at the Fermi level comes out at 5.32 states/eV/cell.

```
&SYSTEM
  ibrav = 0, nat = 8, ntyp = 3
/
ATOMIC_SPECIES
Sr 87.62 Sr.upf
Co 58.93 Co.upf
Ge 72.64 Ge.upf
ATOMIC_POSITIONS crystal
Sr 0.132 0.868 0.750
Sr 0.868 0.132 0.250
Co 0.476 0.524 0.750
Co 0.524 0.476 0.250
Ge 0.150 0.417 0.925
Ge 0.417 0.150 0.425
Ge 0.583 0.850 0.575
Ge 0.850 0.583 0.075
CELL_PARAMETERS angstrom
3.060 -5.384 0.000
3.060 5.384 0.000
-2.883 0.000 4.942
```



Record 2
A geometry-optimized ZnCo2Rh structure. Source: Alexandria, functional PBE. Values from VASP.

The final energy comes out at -22.7 eV per cell. The volume is 49.9 Å³ per cell. The magnetic moment comes out at 3.52 μB per cell. For the formation energy, the calculation gives 37.8 meV/atom. The density of states at the Fermi level comes out at 6.63 states/eV/cell.

```
&SYSTEM
  ibrav = 0, nat = 4, ntyp = 3
/
ATOMIC_SPECIES
Zn 65.41 Zn.upf
Co 58.93 Co.upf
Rh 102.91 Rh.upf
ATOMIC_POSITIONS crystal
Zn 0.000 0.000 0.000
Co 0.500 0.500 0.248
Co 0.500 0.500 0.752
Rh 0.000 0.000 0.500
CELL_PARAMETERS angstrom
2.650 0.000 0.000
0.000 2.650 0.000
0.000 0.000 7.113
```



Record 3
A geometry-optimized La4PmZn structure. Source: Alexandria, functional PBE. Values from VASP.

The final energy comes out at -26.3 eV per cell. As for the energy above the lowest structure with this stoichiometry: 0 meV per atom. The volume is 198.3 Å³ per cell. The magnetic moment comes out at 0.00 μB per cell. For the formation energy, the calculation gives -98.1 meV/atom. The density of states at the Fermi level comes out at 8.60 states/eV/cell.

```
&SYSTEM
  ibrav = 0, nat = 6, ntyp = 3
/
ATOMIC_SPECIES
La 138.91 La.upf
Pm 145.00 Pm.upf
Zn 65.41 Zn.upf
ATOMIC_POSITIONS crystal
La 0.000 0.000 0.132
La 0.000 0.000 0.868
La 0.500 0.500 0.318
La 0.500 0.500 0.682
Pm 0.000 0.000 0.500
Zn 0.500 0.500 0.000
CELL_PARAMETERS angstrom
3.744 0.000 0.000
0.000 3.744 0.000
0.000 0.000 14.142
```



Record 4
A geometry-optimized CaMgTlBi structure. Source: Alexandria, functional PBE. Values from VASP.

The final energy comes out at -11.2 eV per cell. The volume is 113.9 Å³ per cell. The magnetic moment comes out at 0.00 μB per cell. For the formation energy, the calculation gives -333.6 meV/atom. The density of states at the Fermi level comes out at 1.41 states/eV/cell.

```
&SYSTEM
  ibrav = 0, nat = 4, ntyp = 4
/
ATOMIC_SPECIES
Ca 40.08 Ca.upf
Mg 24.30 Mg.upf
Tl 204.38 Tl.upf
Bi 208.98 Bi.upf
ATOMIC_POSITIONS crystal
Ca 0.000 0.000 0.000
Mg 0.500 0.500 0.500
Tl 0.250 0.250 0.250
Bi 0.750 0.750 0.750
CELL_PARAMETERS angstrom
0.000 3.848 3.848
3.848 0.000 3.848
3.848 3.848 0.000
```



Record 5
A geometry-optimized BaNbPb structure. Source: Alexandria, functional PBE. Values from VASP.

The final energy comes out at -29.7 eV per cell. As for the energy above the lowest structure with this stoichiometry: 259 meV per atom. The volume is 191.9 Å³ per cell. The magnetic moment comes out at 0.00 μB per cell. For the formation energy, the calculation gives 276.8 meV/atom. The density of states at the Fermi level comes out at 3.61 states/eV/cell.

```
&SYSTEM
  ibrav = 0, nat = 6, ntyp = 3
/
ATOMIC_SPECIES
Ba 137.33 Ba.upf
Nb 92.91 Nb.upf
Pb 207.20 Pb.upf
ATOMIC_POSITIONS crystal
Ba 0.000 0.000 0.000
Ba 0.000 0.500 0.500
Nb 0.328 0.462 0.883
Nb 0.672 0.538 0.117
Pb 0.400 0.950 0.328
Pb 0.600 0.050 0.672
CELL_PARAMETERS angstrom
3.431 0.000 0.000
-0.631 6.437 0.000
-0.333 -3.226 8.689
```



Record 6
A geometry-optimized BeSn structure. Source: Alexandria, functional PBE. Values from VASP.

The final energy comes out at -14.1 eV per cell. As for the energy above the lowest structure with this stoichiometry: 120 meV per atom. The volume is 80.0 Å³ per cell. The magnetic moment comes out at 0.00 μB per cell. For the formation energy, the calculation gives 344.2 meV/atom. The density of states at the Fermi level comes out at 0.77 states/eV/cell.

```
&SYSTEM
  ibrav = 0, nat = 4, ntyp = 2
/
ATOMIC_SPECIES
Be 9.01 Be.upf
Sn 118.71 Sn.upf
ATOMIC_POSITIONS crystal
Be 0.000 0.000 0.000
Be 0.696 0.696 0.095
Sn 0.414 0.414 0.250
Sn 0.582 0.582 0.718
CELL_PARAMETERS angstrom
3.349 -1.916 0.000
3.349 1.916 0.000
-2.152 0.000 6.235
```



Record 7
A geometry-optimized SrReIr structure. Source: Alexandria, functional PBE. Values from VASP.

The final energy comes out at -35.5 eV per cell. As for the energy above the lowest structure with this stoichiometry: 1714 meV per atom. The volume is 229.6 Å³ per cell. The magnetic moment comes out at 5.07 μB per cell. For the formation energy, the calculation gives 1753.9 meV/atom. The density of states at the Fermi level comes out at 7.78 states/eV/cell.

```
&SYSTEM
  ibrav = 0, nat = 6, ntyp = 3
/
ATOMIC_SPECIES
Sr 87.62 Sr.upf
Re 186.21 Re.upf
Ir 192.22 Ir.upf
ATOMIC_POSITIONS crystal
Sr 0.333 0.667 0.250
Sr 0.667 0.333 0.750
Re 0.000 0.000 0.250
Re 0.000 0.000 0.750
Ir 0.000 0.000 0.000
Ir 0.000 0.000 0.500
CELL_PARAMETERS angstrom
5.337 0.000 0.000
-2.668 4.622 0.000
0.000 0.000 9.310
```



Record 8
A geometry-optimized Ba2GaBiAu6 structure. Source: Alexandria, functional PBE. Values from VASP.

The final energy comes out at -35.0 eV per cell. The volume is 274.0 Å³ per cell. The magnetic moment comes out at 0.00 μB per cell. For the formation energy, the calculation gives -462.8 meV/atom. The density of states at the Fermi level comes out at 3.58 states/eV/cell.

```
&SYSTEM
  ibrav = 0, nat = 10, ntyp = 4
/
ATOMIC_SPECIES
Ba 137.33 Ba.upf
Ga 69.72 Ga.upf
Bi 208.98 Bi.upf
Au 196.97 Au.upf
ATOMIC_POSITIONS crystal
Ba 0.037 0.221 0.205
Ba 0.963 0.779 0.795
Ga 0.500 0.000 0.500
Bi 0.500 0.500 0.000
Au 0.021 0.238 0.715
Au 0.352 0.394 0.404
Au 0.473 0.763 0.285
Au 0.527 0.237 0.715
Au 0.648 0.606 0.596
Au 0.979 0.762 0.285
CELL_PARAMETERS angstrom
5.891 0.000 0.000
2.944 6.600 0.000
2.935 -0.430 7.048
```